1.
LaYSc2 | SCAN | PBEsol geometry

```
LaYSc2
1.0
-2.7077 -1.9819 -0.3107
2.1916 -3.5035 3.2478
-1.3425 3.8970 5.1097
Y Sc La
1 2 1
direct
0.5433 0.0000 0.4617
0.8155 0.0000 0.0060
0.9373 0.5000 0.2496
0.2039 0.5000 0.7826
```

Results
The value obtained for the spin magnetization is 0.3 μB/cell. As for the formation energy: 0.069 eV/atom. As for the total energy: -24.79 eV/atom.



2.
ReRh7 | SCAN | PBEsol geometry

```
ReRh7
1.0
-0.7691 -1.7831 -1.8454
2.2015 0.5315 -1.4310
7.4818 -10.9362 7.4487
Re Rh
1 7
direct
0.0000 0.0000 0.0000
0.5000 0.5000 0.8761
0.0000 0.0000 0.7467
0.5000 0.5000 0.6244
0.0000 0.0000 0.5000
0.5000 0.5000 0.3756
0.0000 0.0000 0.2533
0.5000 0.5000 0.1239
```

Results
The value obtained for the spin magnetization is 0.0 μB/cell. As for the formation energy: -0.037 eV/atom. As for the total energy: -38.47 eV/atom.



3.
SrNiBr2 | SCAN | PBEsol geometry

```
SrNiBr2
1.0
3.8273 0.0000 -0.0549
0.0000 3.8472 0.0000
-1.4091 0.0000 6.2494
Br Ni Sr
2 1 1
direct
0.5939 0.0000 0.7726
0.4061 0.0000 0.2274
0.5000 0.5000 0.0000
0.0000 0.5000 0.5000
```

Results
The value obtained for the spin magnetization is 0.1 μB/cell. The value obtained for the formation energy (no corrections) is -0.762 eV/atom. As for the total energy: -20.10 eV/atom.



4.
SrCdFe2 | SCAN | PBEsol geometry

```
SrCdFe2
1.0
3.1647 0.0000 0.0000
0.0000 3.1647 0.0000
0.0000 0.0000 7.5560
Cd Fe Sr
1 2 1
direct
0.5000 0.5000 0.8122
0.0000 0.0000 0.0492
0.5000 0.5000 0.1690
0.0000 0.0000 0.4696
```

Results
The value obtained for the spin magnetization is 5.3 μB/cell. As for the formation energy: 0.291 eV/atom. As for the total energy: -21.95 eV/atom.



5.
Li3VO2F2 | SCAN | PBEsol geometry

```
Li3VO2F2
1.0
-0.8037 -1.3151 -2.3607
4.6417 0.6477 -1.9412
-0.2757 -4.3845 2.5365
V Li O F
1 3 2 2
direct
0.0000 0.0000 0.0000
0.0000 0.5000 0.5000
0.5000 0.5000 0.0000
0.5000 0.0000 0.5000
0.5000 0.7622 0.7622
0.5000 0.2378 0.2378
0.0000 0.2459 0.7541
0.0000 0.7541 0.2459
```

Results
The value obtained for the spin magnetization is 2.0 μB/cell. The value obtained for the formation energy (no corrections) is -2.772 eV/atom. As for the total energy: -8.30 eV/atom.



6.
Zr2SbPb | SCAN | PBEsol geometry

```
Zr2SbPb
1.0
-3.2363 -1.1462 0.2447
0.9026 -1.9789 2.6676
-1.6540 5.6910 4.7815
Pb Sb Zr
1 1 2
direct
0.5000 0.5000 0.0000
0.5000 0.5000 0.5000
0.0000 0.0000 0.7243
0.0000 0.0000 0.2757
```

Results
The value obtained for the spin magnetization is 0.0 μB/cell. The value obtained for the formation energy (no corrections) is -0.423 eV/atom. As for the total energy: -44.03 eV/atom.



7.
MgFe4O6 | SCAN | PBEsol geometry

```
MgFe4O6
1.0
-0.8616 -1.1012 2.4873
-1.8325 -3.0517 -3.6225
12.8039 -8.4913 0.6762
Mg Fe O
2 8 12
direct
0.6365 0.2730 0.7500
0.3635 0.7270 0.2500
0.8684 0.7368 0.4541
0.3896 0.7792 0.8582
0.1316 0.2632 0.5459
0.6104 0.2208 0.1418
0.8684 0.7368 0.0459
0.1316 0.2632 0.9541
0.6104 0.2208 0.3582
0.3896 0.7792 0.6418
0.5000 0.0000 0.0000
0.5000 0.0000 0.5000
0.0345 0.0690 0.6631
0.9655 0.9310 0.3369
0.9655 0.9310 0.1631
0.0345 0.0690 0.8369
0.7706 0.5411 0.5808
0.2294 0.4589 0.4192
0.2294 0.4589 0.0808
0.7706 0.5411 0.9192
0.2884 0.5769 0.7500
0.7116 0.4231 0.2500
```

Results
The value obtained for the spin magnetization is 36.0 μB/cell. The value obtained for the formation energy (no corrections) is -1.763 eV/atom. As for the total energy: -12.21 eV/atom.



8.
NbAg2B2 | SCAN | PBEsol geometry

```
NbAg2B2
1.0
3.5852 0.0000 0.0000
0.0000 3.5852 0.0000
-1.7926 -1.7926 4.8340
Nb B Ag
1 2 2
direct
0.0000 0.0000 0.0000
0.4138 0.4138 0.8275
0.5862 0.5862 0.1725
0.2500 0.7500 0.5000
0.7500 0.2500 0.5000
```

Results
The value obtained for the spin magnetization is 0.0 μB/cell. As for the formation energy: 0.358 eV/atom. As for the total energy: -21.79 eV/atom.



9.
La3NdCu2O8 | SCAN | PBEsol geometry

```
La3NdCu2O8
1.0
-4.3230 -2.0559 -2.1418
3.0448 -2.4396 -3.8037
2.7400 -4.1539 4.8775
La Nd Cu O
3 1 2 8
direct
0.1396 0.5123 0.2792
0.6395 0.9865 0.2790
0.3615 0.0126 0.7230
0.8637 0.4831 0.7274
0.4989 0.4988 0.9979
0.0000 0.9979 0.9999
0.2582 0.2502 0.0184
0.2354 0.7458 0.9751
0.7397 0.7458 0.9751
0.7602 0.2502 0.0184
0.6882 0.5606 0.3763
0.3158 0.4461 0.6315
0.8147 0.0635 0.6295
0.1847 0.9467 0.3693
```

Results
The value obtained for the spin magnetization is 0.0 μB/cell. The value obtained for the formation energy (no corrections) is -2.889 eV/atom. As for the total energy: -20.97 eV/atom.



10.
Bi4Te3Se3 | SCAN | PBEsol geometry

```
Bi4Te3Se3
1.0
4.2492 0.0000 0.0000
2.1246 3.6799 0.0000
2.1246 1.2266 19.6637
Te Bi Se
3 4 3
direct
0.6066 0.6066 0.1802
0.3964 0.3964 0.8108
0.8926 0.8926 0.3222
0.7996 0.7996 0.6011
0.3037 0.3037 0.0888
0.6995 0.6995 0.9014
0.1955 0.1955 0.4134
0.0013 0.0013 0.9961
0.4974 0.4974 0.5077
0.1072 0.1072 0.6783
```

Results
The value obtained for the spin magnetization is 0.0 μB/cell. The value obtained for the formation energy (no corrections) is -0.255 eV/atom. As for the total energy: -48.89 eV/atom.



11.
BaGeI3 | SCAN | PBEsol geometry

```
BaGeI3
1.0
-3.2989 4.6661 0.8466
-3.6814 -1.8697 -4.0402
-2.9894 -2.8468 4.0412
I Ge Ba
3 1 1
direct
0.0000 0.5000 0.0000
0.0000 0.0000 0.5000
0.5000 0.0000 0.0000
0.0000 0.0000 0.0000
0.5000 0.5000 0.5000
```

Results
The value obtained for the spin magnetization is 0.0 μB/cell. The value obtained for the formation energy (no corrections) is -0.792 eV/atom. As for the total energy: -34.56 eV/atom.



12.
Y12Si5S28 | SCAN | PBEsol geometry

```
Y12Si5S28
1.0
9.6641 -0.0012 0.0001
4.8294 10.0845 0.0033
4.8294 3.7808 9.3650
Y Si S
12 5 28
direct
0.2326 0.9297 0.7028
0.2219 0.4657 0.1819
0.6483 0.7037 0.4240
0.6353 0.1843 0.9519
0.1313 0.7491 0.4689
0.1295 0.2328 0.0041
0.7775 0.0417 0.3063
0.7760 0.5713 0.7951
0.3663 0.3158 0.5440
0.3449 0.8080 0.0662
0.8603 0.2732 0.5029
0.8720 0.7616 0.0183
0.3340 0.0867 0.2531
0.3340 0.5798 0.7446
0.6664 0.0050 0.6645
0.6668 0.5036 0.1609
0.0014 0.2265 0.7738
0.3316 0.8994 0.4374
0.3348 0.3955 0.9331
0.6733 0.3110 0.3418
0.6606 0.8246 0.8565
0.1050 0.2402 0.2538
0.1001 0.7246 0.7401
0.4724 0.2102 0.2239
0.4897 0.6921 0.7068
0.4140 0.0438 0.0632
0.4228 0.5432 0.5517
0.8977 0.0083 0.5182
0.8994 0.5058 0.0135
0.5180 0.0349 0.5495
0.5252 0.5367 0.0389
0.5785 0.1973 0.7043
0.5795 0.6937 0.2027
0.1396 0.2234 0.5484
0.1673 0.7377 0.9951
0.7359 0.9179 0.1798
0.7727 0.3848 0.7058
0.0937 0.9523 0.2156
0.0911 0.4096 0.7305
0.8388 0.7441 0.5136
0.8488 0.2368 0.0022
0.2383 0.0736 0.8404
0.2571 0.5658 0.3355
0.9122 0.0412 0.8072
0.9036 0.5351 0.3048
```

Results
The value obtained for the spin magnetization is 0.0 μB/cell. The value obtained for the formation energy (no corrections) is -1.852 eV/atom. As for the total energy: -16.38 eV/atom.